Record 1
The following is a DFT calculation (PBE) of a relaxed structure of HoZrTc2.

a = 3.342 Å, b = 3.342 Å, c = 6.768 Å
α = 90.00°, β = 90.00°, γ = 90.00°
Fractional positions:
Ho  0.500  0.500  0.500
Zr  0.500  0.500  0.000
Tc  0.000  0.000  0.767
Tc  0.000  0.000  0.233

Values from the calculation:
The calculation puts the energy of formation from the pure elements at -0.093 eV/atom. The density of states at the Fermi level comes out at 1.46 states/eV per atom. Its space group is P4/mmm (123). The total magnetization comes out at 0.0 μB/f.u.

***

Record 2
The following is a DFT calculation (PBE) of a relaxed structure of MnGePHCN.

a = 5.180 Å, b = 2.887 Å, c = 8.243 Å
α = 90.00°, β = 107.57°, γ = 90.00°
Fractional positions:
Ge  0.112  0.500  0.193
C  0.844  0.500  0.318
N  0.497  0.000  0.452
Ge  0.112  0.000  0.693
Mn  0.265  0.500  0.503
N  0.497  0.500  0.952
C  0.844  0.000  0.818
P  0.625  0.500  0.780
H  0.673  0.000  0.554
Mn  0.265  0.000  0.003
H  0.673  0.500  0.054
P  0.625  0.000  0.280

Values from the calculation:
The energy relative to the lowest polymorph listed for this composition comes out at 52 meV per atom. Its space group is Cm (8). The total magnetization comes out at 0.0 μB/f.u.

***

Record 3
The following is a DFT calculation (PBE) of a relaxed structure of GeBiH2Ru.

a = 3.747 Å, b = 6.090 Å, c = 3.747 Å
α = 90.00°, β = 90.00°, γ = 90.00°
Each line ends with the local moment (μB).
Fractional positions:
Ru  0.500  0.500  0.500  1.23
H  0.500  0.000  0.000  0.00
Bi  0.000  0.000  0.000  0.03
H  0.000  0.000  0.500  0.00
Ge  0.000  0.500  0.000  -0.01

Values from the calculation:
Its raw total energy is -4.013 eV/atom. The density of states at the Fermi level comes out at 0.98 states/eV per atom. Its space group is P4/mmm (123). The total magnetization comes out at 1.4 μB/f.u.